# 1
Compound: ThInTc
Source: Alexandria
Functional: GGA-PBE
Structure: relaxed

The calculation puts the total DFT energy (no corrections) at -6.736 eV per atom. The density of states at the Fermi level comes out at 3.3 states/eV per cell. The energy above the most stable polymorph in this dataset comes out at 343.3 meV/atom. The formation energy is 0.105 eV per atom. The total magnetization is 0.00 μB per cell.

The space group is P-6m2 (No. 187) and the conventional cell measures 4.7103, 4.7103 and 3.7460 Å, with angles of 90.00, 90.00 and 120.00 degrees. The asymmetric unit holds Th at (0.0000, 0.0000, 0.0000), In at (0.3333, 0.6667, 0.5000) and Tc at (0.6667, 0.3333, 0.5000).

# 2
Compound: Mg2ScNi
Source: Alexandria
Functional: GGA-PBE
Structure: relaxed

The calculation puts the total DFT energy (no corrections) at -3.930 eV per atom. The density of states at the Fermi level comes out at 8.3 states/eV per cell. The formation energy is -0.105 eV per atom. The total magnetization is 0.00 μB per cell.

The space group is I-4m2 (No. 119) and the conventional cell measures 4.668, 4.668 and 6.636 Å, with angles of 90.00, 90.00 and 90.00 degrees. The asymmetric unit holds Mg at (0.000, 0.000, 0.000), Mg at (0.000, 0.500, 0.250), Sc at (0.000, 0.000, 0.500) and Ni at (0.000, 0.500, 0.750).

# 3
Compound: LaMgFe
Source: Alexandria
Functional: GGA-PBE
Structure: relaxed

The calculation puts the total DFT energy (no corrections) at -4.000 eV per atom. The density of states at the Fermi level comes out at 31.4 states/eV per cell. The formation energy is 0.995 eV per atom. The total magnetization is 8.88 μB per cell.

The space group is F-43m (No. 216) and the conventional cell measures 7.069, 7.069 and 7.069 Å, with angles of 90.00, 90.00 and 90.00 degrees. The asymmetric unit holds La at (0.000, 0.000, 0.000), Mg at (0.250, 0.250, 0.250) and Fe at (0.250, 0.250, 0.750).